Computed, not measured: a geometry-optimized U2GaRe structure at the PBE level of DFT.

a b c (Å): 10.156 10.156 10.156
angles (deg): 16.66 16.66 16.66
Sites, in units of the cell vectors:
U  0.246  0.246  0.246
U  0.754  0.754  0.754
Ga  0.000  0.000  0.000
Re  0.500  0.500  0.500

Space group: No. 166
Uncorrected energy (eV/atom): -9.39
Fermi-level density of states (states/eV/f.u.): 6.73
Spin magnetization (Bohr magnetons per cell): 0.00

=====

Computed, not measured: a geometry-optimized V4Ga3Re structure at the PBE level of DFT.

a b c (Å): 8.327 5.214 5.255
angles (deg): 90.00 90.00 90.00
Sites, in units of the cell vectors:
V  0.000  0.004  0.000
V  0.000  0.535  0.889
V  0.242  0.251  0.191
V  0.258  0.749  0.691
V  0.500  0.465  0.389
V  0.500  0.996  0.500
V  0.742  0.749  0.691
V  0.758  0.251  0.191
Ga  0.000  0.973  0.497
Ga  0.239  0.254  0.687
Ga  0.261  0.746  0.187
Ga  0.500  0.027  0.997
Ga  0.739  0.746  0.187
Ga  0.761  0.254  0.687
Re  0.000  0.481  0.367
Re  0.500  0.519  0.867

Space group: No. 31
Uncorrected energy (eV/atom): -7.35
Fermi-level density of states (states/eV/f.u.): 4.57
Spin magnetization (Bohr magnetons per cell): 0.00

=====

Computed, not measured: a geometry-optimized VGa2Re structure at the PBE level of DFT.

a b c (Å): 9.696 9.696 9.696
angles (deg): 158.14 158.14 31.11
Sites, in units of the cell vectors:
V  0.000  0.000  0.000
V  0.750  0.250  0.500
Ga  0.123  0.625  0.998
Ga  0.375  0.373  0.498
Ga  0.627  0.125  0.002
Ga  0.875  0.877  0.502
Re  0.250  0.750  0.500
Re  0.500  0.500  0.000

Space group: No. 122
Uncorrected energy (eV/atom): -6.60
Fermi-level density of states (states/eV/f.u.): 3.22
Spin magnetization (Bohr magnetons per cell): 0.00

=====

Computed, not measured: a geometry-optimized VGa2Re structure at the PBE level of DFT.

a b c (Å): 9.662 9.662 9.662
angles (deg): 16.55 16.55 16.55
Sites, in units of the cell vectors:
V  0.000  0.000  0.000
Ga  0.089  0.089  0.089
Ga  0.911  0.911  0.911
Re  0.500  0.500  0.500

Space group: No. 166
Uncorrected energy (eV/atom): -6.49
Fermi-level density of states (states/eV/f.u.): 5.32
Spin magnetization (Bohr magnetons per cell): 0.55

=====

Computed, not measured: a geometry-optimized V6GaRe5 structure at the PBE level of DFT.

a b c (Å): 7.434 7.434 7.434
angles (deg): 146.46 131.47 60.28
Sites, in units of the cell vectors:
V  0.079  0.331  0.747
V  0.243  0.000  0.243
V  0.416  0.669  0.747
V  0.584  0.331  0.253
V  0.757  0.000  0.757
V  0.921  0.669  0.253
Ga  0.500  0.500  0.000
Re  0.000  0.500  0.500
Re  0.168  0.168  0.000
Re  0.336  0.836  0.500
Re  0.664  0.164  0.500
Re  0.832  0.832  0.000

Space group: No. 71
Uncorrected energy (eV/atom): -10.30
Fermi-level density of states (states/eV/f.u.): 7.38
Spin magnetization (Bohr magnetons per cell): 0.00

=====

Computed, not measured: a geometry-optimized VGa3Re structure at the PBE level of DFT.

a b c (Å): 4.791 4.791 4.791
angles (deg): 90.00 90.00 90.00
Sites, in units of the cell vectors:
V  0.000  0.000  0.000
Ga  0.000  0.500  0.500
Ga  0.500  0.000  0.500
Ga  0.500  0.500  0.000
Re  0.500  0.500  0.500

Space group: No. 221
Uncorrected energy (eV/atom): -5.45
Fermi-level density of states (states/eV/f.u.): 6.13
Spin magnetization (Bohr magnetons per cell): 3.33

=====

Computed, not measured: a geometry-optimized VGa2Re structure at the PBE level of DFT.

a b c (Å): 4.342 4.342 4.342
angles (deg): 60.00 60.00 60.00
Sites, in units of the cell vectors:
V  0.000  0.000  0.000
Ga  0.250  0.250  0.250
Ga  0.750  0.750  0.750
Re  0.500  0.500  0.500

Space group: No. 225
Uncorrected energy (eV/atom): -6.81
Fermi-level density of states (states/eV/f.u.): 3.31
Spin magnetization (Bohr magnetons per cell): 1.07

=====

Computed, not measured: a geometry-optimized V6GaRe structure at the PBE level of DFT.

a b c (Å): 4.240 5.229 5.229
angles (deg): 70.57 90.00 90.00
Sites, in units of the cell vectors:
V  0.000  0.000  0.000
V  0.000  0.018  0.489
V  0.000  0.489  0.018
V  0.500  0.253  0.756
V  0.500  0.254  0.254
V  0.500  0.756  0.253
Ga  0.500  0.756  0.756
Re  0.000  0.510  0.510

Space group: No. 38
Uncorrected energy (eV/atom): -8.96
Fermi-level density of states (states/eV/f.u.): 9.64
Spin magnetization (Bohr magnetons per cell): 0.00